# 1
DFT (PBE-GGA) results for a geometry-optimized LaPuSb2 structure.

Cell: 4.534 4.534 7.818 Å, 73.14 73.14 60.00°
Last column: magnetic moment on the atom in μB.
Positions (direct):
1 Sb 0.255 0.255 0.236  -0.09
2 Sb 0.745 0.745 0.764  -0.09
3 La 0.500 0.500 0.500  -0.04
4 Pu 0.000 0.000 0.000  5.17

Summary:
For the density of states at the Fermi level, the calculation gives 3.694 states/eV/atom. The calculation puts the energy above the most stable polymorph in this dataset at 0 meV/atom. The total energy is -7.80 eV/atom. As for the space-group type: No. 166. The uncorrected formation energy comes out at -0.922 eV/atom.

=====

# 2
DFT (PBE-GGA) results for a geometry-optimized LaPuSb2 structure.

Cell: 4.480 4.480 8.093 Å, 73.93 73.93 60.00°
Last column: magnetic moment on the atom in μB.
Positions (direct):
1 La 0.498 0.498 0.507  0.04
2 Pu 0.669 0.669 0.994  -5.19
3 Sb 0.078 0.078 0.765  0.09
4 Sb 0.255 0.255 0.234  0.10

Summary:
For the density of states at the Fermi level, the calculation gives 3.614 states/eV/atom. The calculation puts the energy above the most stable polymorph in this dataset at 97 meV/atom. The total energy is -7.70 eV/atom. As for the space-group type: No. 160. The uncorrected formation energy comes out at -0.825 eV/atom.

=====

# 3
DFT (PBE-GGA) results for a geometry-optimized La3PuSb4 structure.

Cell: 4.587 7.931 7.931 Å, 109.49 90.00 90.00°
Last column: magnetic moment on the atom in μB.
Positions (direct):
1 La 0.000 0.000 0.500  -0.01
2 La 0.500 0.500 0.500  -0.03
3 La 0.000 0.500 0.000  -0.01
4 Pu 0.500 0.000 0.000  5.21
5 Sb 0.000 0.242 0.242  -0.06
6 Sb 0.500 0.754 0.246  -0.04
7 Sb 0.000 0.758 0.758  -0.06
8 Sb 0.500 0.246 0.754  -0.04

Summary:
For the density of states at the Fermi level, the calculation gives 2.223 states/eV/atom. The calculation puts the energy above the most stable polymorph in this dataset at 3 meV/atom. The total energy is -6.79 eV/atom. As for the space-group type: No. 65. The uncorrected formation energy comes out at -1.088 eV/atom.

=====

# 4
DFT (PBE-GGA) results for a geometry-optimized La2PuSb structure.

Cell: 4.754 4.993 4.993 Å, 90.00 90.00 90.00°
Last column: magnetic moment on the atom in μB.
Positions (direct):
1 Sb 0.500 0.000 0.000  -0.04
2 La 0.000 0.000 0.500  0.21
3 La 0.000 0.500 0.000  0.21
4 Pu 0.500 0.500 0.500  5.69

Summary:
For the density of states at the Fermi level, the calculation gives 2.739 states/eV/atom. The total energy is -7.58 eV/atom. As for the space-group type: No. 123. The uncorrected formation energy comes out at -0.501 eV/atom.

=====

# 5
DFT (PBE-GGA) results for a geometry-optimized LaSm2PuSb4 structure.

Cell: 4.508 7.792 7.791 Å, 70.51 90.00 90.00°
Last column: magnetic moment on the atom in μB.
Positions (direct):
1 La 0.000 0.500 0.500  -0.01
2 Sm 0.000 0.000 0.000  0.00
3 Sm 0.500 0.000 0.500  -0.02
4 Pu 0.500 0.500 0.000  5.20
5 Sb 0.000 0.750 0.756  -0.06
6 Sb 0.000 0.250 0.244  -0.06
7 Sb 0.500 0.754 0.243  -0.04
8 Sb 0.500 0.246 0.757  -0.04

Summary:
For the density of states at the Fermi level, the calculation gives 2.163 states/eV/atom. The total energy is -6.69 eV/atom. As for the space-group type: No. 10. The uncorrected formation energy comes out at -1.043 eV/atom.

=====

# 6
DFT (PBE-GGA) results for a geometry-optimized LaTb2PuSb4 structure.

Cell: 4.475 7.731 7.738 Å, 70.50 90.00 90.00°
Last column: magnetic moment on the atom in μB.
Positions (direct):
1 La 0.500 0.500 0.000  -0.01
2 Tb 0.000 0.000 0.000  -0.05
3 Tb 0.500 0.000 0.500  -0.01
4 Pu 0.000 0.500 0.500  5.21
5 Sb 0.000 0.759 0.742  -0.04
6 Sb 0.000 0.241 0.258  -0.04
7 Sb 0.500 0.754 0.254  -0.06
8 Sb 0.500 0.246 0.746  -0.06

Summary:
For the density of states at the Fermi level, the calculation gives 2.098 states/eV/atom. The total energy is -6.65 eV/atom. As for the space-group type: No. 10. The uncorrected formation energy comes out at -1.028 eV/atom.

=====

# 7
DFT (PBE-GGA) results for a geometry-optimized LaPuSbTe structure.

Cell: 5.495 5.495 5.495 Å, 60.00 60.00 60.00°
Last column: magnetic moment on the atom in μB.
Positions (direct):
1 Sb 0.750 0.750 0.750  -0.10
2 La 0.500 0.500 0.500  0.16
3 Te 0.250 0.250 0.250  -0.09
4 Pu 0.000 0.000 0.000  5.49

Summary:
For the density of states at the Fermi level, the calculation gives 2.295 states/eV/atom. The calculation puts the energy above the most stable polymorph in this dataset at 179 meV/atom. The total energy is -7.62 eV/atom. As for the space-group type: No. 216. The uncorrected formation energy comes out at -0.993 eV/atom.

=====

# 8
DFT (PBE-GGA) results for a geometry-optimized LaPuSbTe structure.

Cell: 4.539 4.539 7.822 Å, 73.13 73.13 60.00°
Last column: magnetic moment on the atom in μB.
Positions (direct):
1 La 0.942 0.942 0.174  0.04
2 Pu 0.446 0.446 0.663  5.41
3 Sb 0.191 0.191 0.427  -0.06
4 Te 0.698 0.698 0.907  -0.05

Summary:
For the density of states at the Fermi level, the calculation gives 3.270 states/eV/atom. The calculation puts the energy above the most stable polymorph in this dataset at 0 meV/atom. The total energy is -7.80 eV/atom. As for the space-group type: No. 160. The uncorrected formation energy comes out at -1.173 eV/atom.